Entry 1:
Here is a geometry-optimized DyHo4S5 structure from Alexandria via LeMat-Bulk. Energies are from PBE-GGA.

```
DyHo4S5
1.0
3.8216 0.0000 -0.7373
-0.2828 5.2815 -1.4661
0.0029 0.0042 10.2880
Ho Dy S
4 1 5
Direct
0.4001 0.4001 0.8002 Ho
0.2003 0.2003 0.4005 Ho
0.7997 0.7997 0.5995 Ho
0.5999 0.5999 0.1998 Ho
0.0000 0.0000 0.0000 Dy
0.0000 0.5000 0.0000 S
0.6007 0.1007 0.2014 S
0.1998 0.6998 0.3997 S
0.3993 0.8993 0.7986 S
0.8002 0.3002 0.6003 S
```

Values from the calculation:
DOS(E_F): 0.433 states/eV/atom
total moment: 0.000 μB/f.u.
volume: 20.769 Å³ per atom
SG: Immm, No. 71
raw formation energy: -1.974 eV per atom

---

Entry 2:
Here is a geometry-optimized Dy2HoS structure from Alexandria via LeMat-Bulk. Energies are from PBE-GGA.

```
Dy2HoS
1.0
3.6484 0.0000 0.0000
1.8242 3.1596 0.0000
1.8242 1.0532 10.0066
S Dy Ho
1 2 1
Direct
0.5000 0.5000 0.5000 S
0.1118 0.1118 0.6646 Dy
0.8882 0.8882 0.3354 Dy
0.0000 0.0000 0.0000 Ho
```

Values from the calculation:
DOS(E_F): 1.042 states/eV/atom
total moment: 0.661 μB/f.u.
volume: 28.838 Å³ per atom
SG: R-3m, No. 166
raw formation energy: -0.714 eV per atom

---

Entry 3:
Here is a geometry-optimized DyHoS structure from Alexandria via LeMat-Bulk. Energies are from PBE-GGA.

```
DyHoS
1.0
3.7586 0.0000 0.0000
-1.8793 3.2550 0.0000
0.0000 0.0000 6.2907
Ho S Dy
1 1 1
Direct
0.6667 0.3333 0.4021 Ho
0.3333 0.6667 0.6656 S
0.0000 0.0000 0.9323 Dy
```

Values from the calculation:
DOS(E_F): 0.727 states/eV/atom
total moment: 0.002 μB/f.u.
volume: 25.654 Å³ per atom
SG: P3m1, No. 156
raw formation energy: -1.277 eV per atom

---

Entry 4:
Here is a geometry-optimized DyHo2S structure from Alexandria via LeMat-Bulk. Energies are from PBE-GGA.

```
DyHo2S
1.0
3.6310 0.0000 0.0000
1.8155 3.1445 0.0000
1.8155 1.0482 10.0079
Dy Ho S
1 2 1
Direct
0.0000 0.0000 0.0000 Dy
0.1119 0.1119 0.6642 Ho
0.8881 0.8881 0.3358 Ho
0.5000 0.5000 0.5000 S
```

Values from the calculation:
DOS(E_F): 0.985 states/eV/atom
total moment: 0.731 μB/f.u.
volume: 28.567 Å³ per atom
SG: R-3m, No. 166
raw formation energy: -0.713 eV per atom

---

Entry 5:
Here is a geometry-optimized Dy4HoS6 structure from Alexandria via LeMat-Bulk. Energies are from PBE-GGA.

```
Dy4HoS6
1.0
3.8170 0.0000 0.0000
-1.9085 6.4278 0.0000
0.0000 0.0000 19.8080
Dy S Ho
8 12 2
Direct
0.1390 0.2780 0.0399 Dy
0.4089 0.8178 0.1280 Dy
0.5911 0.1822 0.6280 Dy
0.1390 0.2780 0.4601 Dy
0.8610 0.7220 0.5399 Dy
0.8610 0.7220 0.9601 Dy
0.5911 0.1822 0.8720 Dy
0.4089 0.8178 0.3720 Dy
0.6949 0.3898 0.7500 S
0.7699 0.5398 0.4109 S
0.0517 0.1034 0.1678 S
0.2301 0.4602 0.9109 S
0.7699 0.5398 0.0891 S
0.5000 0.0000 0.0000 S
0.0517 0.1034 0.3322 S
0.5000 0.0000 0.5000 S
0.2301 0.4602 0.5891 S
0.3051 0.6102 0.2500 S
0.9483 0.8966 0.8322 S
0.9483 0.8966 0.6678 S
0.3483 0.6965 0.7500 Ho
0.6517 0.3035 0.2500 Ho
```

Values from the calculation:
DOS(E_F): 0.238 states/eV/atom
total moment: 0.000 μB/f.u.
volume: 22.090 Å³ per atom
SG: Cmcm, No. 63
raw formation energy: -2.033 eV per atom

---

Entry 6:
Here is a geometry-optimized Dy4HoS7 structure from Alexandria via LeMat-Bulk. Energies are from PBE-GGA.

```
Dy4HoS7
1.0
3.8057 0.0000 0.0000
-1.9029 6.2103 -1.6344
0.0000 0.0209 11.6024
Dy S Ho
4 7 1
Direct
0.1117 0.2234 0.4216 Dy
0.3002 0.6005 0.1884 Dy
0.6999 0.3998 0.8118 Dy
0.0000 0.0000 0.9997 Dy
0.4992 0.9985 0.5003 S
0.3406 0.6813 0.9488 S
0.0412 0.0824 0.7842 S
0.7410 0.4821 0.3531 S
0.2601 0.5202 0.6474 S
0.6593 0.3187 0.0511 S
0.9586 0.9172 0.2150 S
0.8881 0.7762 0.5786 Ho
```

Values from the calculation:
DOS(E_F): 0.108 states/eV/atom
total moment: 0.000 μB/f.u.
volume: 22.863 Å³ per atom
SG: Cm, No. 8
raw formation energy: -2.076 eV per atom

---

Entry 7:
Here is a geometry-optimized DyHoSbS structure from Alexandria via LeMat-Bulk. Energies are from PBE-GGA.

```
DyHoSbS
1.0
4.0715 0.0000 -0.0005
-2.0349 3.5254 0.0001
-2.0355 -1.1749 7.0591
Ho Dy Sb S
1 1 1 1
Direct
0.3242 0.5600 0.8994 Ho
0.9517 0.3738 0.3408 Dy
0.4723 0.1341 0.6213 Sb
0.1297 0.9628 0.1081 S
```

Values from the calculation:
DOS(E_F): 0.646 states/eV/atom
total moment: 0.000 μB/f.u.
volume: 25.330 Å³ per atom
SG: R3m, No. 160
raw formation energy: -1.451 eV per atom

---

Entry 8:
Here is a geometry-optimized Dy2Ho3ScS6 structure from Alexandria via LeMat-Bulk. Energies are from PBE-GGA.

```
Dy2Ho3ScS6
1.0
3.8566 0.0000 0.0000
0.0000 7.7456 0.2748
-1.9283 -2.2340 8.1025
Dy Ho S Sc
2 3 6 1
Direct
0.8339 0.6672 0.6677 Dy
0.1661 0.3328 0.3323 Dy
0.1683 0.8346 0.3366 Ho
0.8317 0.1654 0.6634 Ho
0.5000 0.5000 0.0000 Ho
0.6661 0.5846 0.3323 S
0.3376 0.9201 0.6752 S
0.6624 0.0799 0.3248 S
0.3339 0.4154 0.6677 S
0.0014 0.7596 0.0029 S
0.9986 0.2404 0.9971 S
0.5000 0.0000 0.0000 Sc
```

Values from the calculation:
DOS(E_F): 0.446 states/eV/atom
total moment: 0.000 μB/f.u.
volume: 20.367 Å³ per atom
SG: C2/m, No. 12
raw formation energy: -1.955 eV per atom

---

Entry 9:
Here is a geometry-optimized Dy2HoSc3S6 structure from Alexandria via LeMat-Bulk. Energies are from PBE-GGA.

```
Dy2HoSc3S6
1.0
-3.2942 1.7634 0.6316
-1.8250 -5.2684 5.1903
5.5817 4.8818 4.1146
Dy S Sc Ho
2 6 3 1
Direct
0.1669 0.3338 0.3337 Dy
0.8331 0.6662 0.6663 Dy
0.6629 0.5922 0.3258 S
0.3371 0.4078 0.6742 S
0.0036 0.7427 0.0073 S
0.6697 0.0741 0.3394 S
0.9964 0.2573 0.9927 S
0.3303 0.9259 0.6606 S
0.1670 0.8329 0.3339 Sc
0.5000 0.5000 0.0000 Sc
0.8330 0.1671 0.6661 Sc
0.5000 0.0000 0.0000 Ho
```

Values from the calculation:
DOS(E_F): 0.475 states/eV/atom
total moment: 0.000 μB/f.u.
volume: 19.346 Å³ per atom
SG: C2/m, No. 12
raw formation energy: -1.920 eV per atom

---

Entry 10:
Here is a geometry-optimized Dy4HoScS8 structure from Alexandria via LeMat-Bulk. Energies are from PBE-GGA.

```
Dy4HoScS8
1.0
7.9705 0.0000 0.0000
3.9853 6.9027 0.0000
3.9853 2.3009 6.5028
Dy Ho S Sc
4 1 8 1
Direct
0.4903 0.0033 0.5032 Dy
0.0033 0.4903 0.5032 Dy
0.6249 0.6249 0.1252 Dy
0.0033 0.0033 0.5032 Dy
0.0032 0.0032 0.9904 Ho
0.7585 0.7585 0.7244 S
0.2238 0.7594 0.2575 S
0.7594 0.7594 0.2575 S
0.7594 0.2238 0.2575 S
0.2477 0.2477 0.2569 S
0.2467 0.7579 0.7488 S
0.2467 0.2467 0.7488 S
0.7579 0.2467 0.7488 S
0.3751 0.3751 0.8747 Sc
```

Values from the calculation:
DOS(E_F): 0.471 states/eV/atom
total moment: 0.748 μB/f.u.
volume: 25.555 Å³ per atom
SG: R3m, No. 160
raw formation energy: -1.922 eV per atom

---

Entry 11:
Here is a geometry-optimized Dy4HoSc3S8 structure from Alexandria via LeMat-Bulk. Energies are from PBE-GGA.

```
Dy4HoSc3S8
1.0
-0.7810 7.6034 -0.3670
-2.8481 -0.6342 -7.0799
-3.1814 -3.8992 5.7644
S Dy Sc Ho
8 4 3 1
Direct
0.2554 0.2662 0.5108 S
0.7506 0.2615 0.5012 S
0.7446 0.7338 0.4892 S
0.2603 0.2615 0.0109 S
0.7397 0.7385 0.9891 S
0.7506 0.2615 0.0109 S
0.2494 0.7385 0.9891 S
0.2494 0.7385 0.4988 S
0.5000 0.0000 0.5000 Dy
0.0000 0.0000 0.5000 Dy
0.0000 0.0000 0.0000 Dy
0.5000 0.0000 0.0000 Dy
0.0000 0.5000 0.5000 Sc
0.5000 0.5000 0.0000 Sc
0.5000 0.5000 0.5000 Sc
0.0000 0.5000 0.0000 Ho
```

Values from the calculation:
DOS(E_F): 0.654 states/eV/atom
total moment: 0.000 μB/f.u.
volume: 19.823 Å³ per atom
SG: R-3m, No. 166
raw formation energy: -1.928 eV per atom

---

Entry 12:
Here is a geometry-optimized Dy2HoScS6 structure from Alexandria via LeMat-Bulk. Energies are from PBE-GGA.

```
Dy2HoScS6
1.0
-6.7512 -0.7521 -0.2618
-3.4794 -1.4592 5.6548
-4.1134 5.1958 2.8957
Dy S Sc Ho
2 6 1 1
Direct
0.0169 0.0169 0.9494 Dy
0.5193 0.5193 0.4421 Dy
0.9385 0.5969 0.2519 S
0.5969 0.2128 0.2519 S
0.7050 0.1140 0.7590 S
0.1141 0.4220 0.7590 S
0.2127 0.9384 0.2519 S
0.4219 0.7050 0.7590 S
0.3198 0.3198 0.0405 Sc
0.8165 0.8165 0.5504 Ho
```

Values from the calculation:
DOS(E_F): 0.000 states/eV/atom
total moment: 0.000 μB/f.u.
volume: 24.310 Å³ per atom
SG: R3, No. 146
raw formation energy: -2.009 eV per atom